Record 1
Crystalline Pr3Si2Pt9Au at its relaxed geometry. Source: Alexandria, functional GGA-PBE.

Values from the calculation:
Energy relative to the elements, uncorrected: -0.757 eV per atom

a = 5.7378 Å, b = 5.7378 Å, c = 11.1076 Å
α = 90.00°, β = 90.00°, γ = 120.00°
Fractional positions:
1 Pr 0.3333 0.6667 0.5939
2 Pr 0.0000 0.0000 0.0000
3 Pr 0.6667 0.3333 0.4061
4 Si 0.3333 0.6667 0.1586
5 Si 0.6667 0.3333 0.8414
6 Pt 0.8383 0.1617 0.6978
7 Pt 0.8383 0.6767 0.6978
8 Pt 0.3233 0.1617 0.6978
9 Pt 0.6767 0.8383 0.3022
10 Pt 0.1617 0.3233 0.3022
11 Pt 0.1617 0.8383 0.3022
12 Pt 0.5000 0.0000 0.0000
13 Pt 0.0000 0.5000 0.0000
14 Pt 0.5000 0.5000 0.0000
15 Au 0.0000 0.0000 0.5000



Record 2
Crystalline PrSmPtAu at its relaxed geometry. Source: Alexandria, functional GGA-PBE.

Values from the calculation:
Electronic total energy: -5.68 eV per atom

a = 3.9222 Å, b = 4.6930 Å, c = 5.8404 Å
α = 90.00°, β = 109.62°, γ = 90.00°
Fractional positions:
1 Pr 0.1391 0.0000 0.2782
2 Sm 0.8641 0.5000 0.7281
3 Pt 0.4116 0.0000 0.8231
4 Au 0.5853 0.5000 0.1705



Record 3
Crystalline PrSmPtAu at its relaxed geometry. Source: Alexandria, functional GGA-PBE.

Values from the calculation:
Electronic total energy: -5.61 eV per atom

a = 5.1715 Å, b = 5.1715 Å, c = 5.1715 Å
α = 60.00°, β = 60.00°, γ = 60.00°
Fractional positions:
1 Pr 0.5000 0.5000 0.5000
2 Au 0.2500 0.2500 0.2500
3 Sm 0.0000 0.0000 0.0000
4 Pt 0.7500 0.7500 0.7500



Record 4
Crystalline Pr2Sn4Pt3Au at its relaxed geometry. Source: Alexandria, functional GGA-PBE.

Values from the calculation:
Electronic total energy: -5.49 eV per atom

a = 4.6467 Å, b = 4.6467 Å, c = 10.7543 Å
α = 90.00°, β = 90.00°, γ = 90.00°
Fractional positions:
1 Pr 0.5000 0.0000 0.2593
2 Pr 0.0000 0.5000 0.7407
3 Sn 0.5000 0.5000 0.0000
4 Sn 0.0000 0.0000 0.0000
5 Sn 0.5000 0.0000 0.6336
6 Sn 0.0000 0.5000 0.3664
7 Pt 0.0000 0.0000 0.5000
8 Pt 0.5000 0.0000 0.8753
9 Pt 0.0000 0.5000 0.1247
10 Au 0.5000 0.5000 0.5000



Record 5
Crystalline Pr2Sn3Pt4Au at its relaxed geometry. Source: Alexandria, functional GGA-PBE.

Values from the calculation:
Electronic total energy: -5.67 eV per atom

a = 4.5344 Å, b = 4.5344 Å, c = 10.9603 Å
α = 90.00°, β = 90.00°, γ = 90.00°
Fractional positions:
1 Pr 0.5000 0.0000 0.2586
2 Pr 0.0000 0.5000 0.7414
3 Sn 0.0000 0.0000 0.5000
4 Sn 0.5000 0.0000 0.8724
5 Sn 0.0000 0.5000 0.1276
6 Pt 0.5000 0.5000 0.0000
7 Pt 0.0000 0.0000 0.0000
8 Pt 0.5000 0.0000 0.6382
9 Pt 0.0000 0.5000 0.3618
10 Au 0.5000 0.5000 0.5000



Record 6
Crystalline PrSnPtAu at its relaxed geometry. Source: Alexandria, functional GGA-PBE.

Values from the calculation:
Electronic total energy: -5.25 eV per atom

a = 5.0241 Å, b = 5.0241 Å, c = 5.0241 Å
α = 60.00°, β = 60.00°, γ = 60.00°
Fractional positions:
1 Pr 0.5000 0.5000 0.5000
2 Au 0.2500 0.2500 0.2500
3 Sn 0.0000 0.0000 0.0000
4 Pt 0.7500 0.7500 0.7500



Record 7
Crystalline TbPrPtAu at its relaxed geometry. Source: Alexandria, functional GGA-PBE.

Values from the calculation:
Electronic total energy: -5.68 eV per atom

a = 3.8823 Å, b = 4.6792 Å, c = 5.7872 Å
α = 90.00°, β = 109.60°, γ = 90.00°
Fractional positions:
1 Tb 0.8643 0.5000 0.7287
2 Pr 0.1397 0.0000 0.2794
3 Pt 0.4112 0.0000 0.8223
4 Au 0.5848 0.5000 0.1696



Record 8
Crystalline TbPrPtAu at its relaxed geometry. Source: Alexandria, functional GGA-PBE.

Values from the calculation:
Electronic total energy: -5.62 eV per atom

a = 5.1324 Å, b = 5.1324 Å, c = 5.1324 Å
α = 60.00°, β = 60.00°, γ = 60.00°
Fractional positions:
1 Pr 0.5000 0.5000 0.5000
2 Tb 0.0000 0.0000 0.0000
3 Au 0.2500 0.2500 0.2500
4 Pt 0.7500 0.7500 0.7500



- Number 1 is which compound?
  Pr3Si2Pt9Au